# 1
PrScGa2Pt2 | PBE-GGA | relaxed

Computed properties:
E_tot ... -5.927 eV/atom
ΔH_f (0 K) ... -1052.2 meV/atom

abc: 4.4531 4.4531 6.9366
angles: 90.00 90.00 120.00
With the nearest neighbours (Å) after each atom.
Atoms (fractional coordinates):
Pr  0.0000  0.0000  0.0000  6 Pt 3.28, 6 Ga 3.29, 2 Sc 3.47
Sc  0.0000  0.0000  0.5000  6 Ga 2.93, 6 Pt 2.95
Ga  0.6667  0.3333  0.7039  4 Pt 2.57-2.85
Ga  0.3333  0.6667  0.2961  4 Pt 2.57-2.85
Pt  0.6667  0.3333  0.2926  4 Ga 2.57-2.85
Pt  0.3333  0.6667  0.7074  4 Ga 2.57-2.85

***

# 2
La6Tb3Pm | PBE-GGA | relaxed

Computed properties:
Energy above the lowest structure with this stoichiometry ... 68 kJ/mol of formula units
E_tot ... -4.630 eV/atom
ΔH_f (0 K) ... 190.2 meV/atom

abc: 10.0826 10.0826 7.1122
angles: 44.86 44.86 60.00
With the nearest neighbours (Å) after each atom.
Atoms (fractional coordinates):
La  0.8995  0.5747  0.2996  1 Pm 3.28, 2 Tb 3.54-3.55
La  0.2261  0.8995  0.2996  1 Pm 3.28, 2 Tb 3.54-3.55
La  0.5747  0.2261  0.2996  1 Pm 3.28, 2 Tb 3.54-3.55
La  0.0752  0.3994  0.7996  3 Tb 3.28-3.56
La  0.7258  0.0752  0.7996  3 Tb 3.28-3.56
La  0.3994  0.7258  0.7996  3 Tb 3.28-3.56
Tb  0.3997  0.3997  0.8009  2 Tb 3.04-3.05, 3 La 3.28
Tb  0.6483  0.6483  0.0551  1 Tb 3.05, 1 Pm 3.08
Tb  0.1517  0.1517  0.5450  1 Tb 3.04, 1 Pm 3.09
Pm  0.8996  0.8996  0.3013  2 Tb 3.08-3.09, 3 La 3.28

***

# 3
LuAlNiAu | PBE-GGA | relaxed

Computed properties:
E_tot ... -4.902 eV/atom
ΔH_f (0 K) ... -571.2 meV/atom

abc: 4.6028 4.6028 4.6028
angles: 60.00 60.00 60.00
With the nearest neighbours (Å) after each atom.
Atoms (fractional coordinates):
Ni  0.2500  0.2500  0.2500  4 Al 2.82, 4 Lu 2.82
Lu  0.5000  0.5000  0.5000  4 Ni 2.82, 4 Au 2.82
Au  0.7500  0.7500  0.7500  4 Al 2.82, 4 Lu 2.82
Al  0.0000  0.0000  0.0000  4 Ni 2.82, 4 Au 2.82

***

# 4
SrAlCl2 | PBE-GGA | relaxed

Computed properties:
Formation energy from raw total energies ... -1026 meV/atom
Energy above the lowest structure with this stoichiometry ... 80 kJ/mol of formula units
E_tot ... -3.305 eV/atom

abc: 5.2170 5.2170 9.9327
angles: 74.77 74.77 90.00
With the nearest neighbours (Å) after each atom.
Atoms (fractional coordinates):
Sr  0.0000  0.0000  0.0000  4 Cl 2.94
Sr  0.7500  0.2500  0.5000  4 Cl 2.94
Al  0.5000  0.5000  0.0000  4 Cl 2.97
Al  0.2500  0.7500  0.5000  4 Cl 2.97
Cl  0.6316  0.1250  0.2500  2 Sr 2.94, 2 Al 2.97
Cl  0.1184  0.6250  0.2500  2 Sr 2.94, 2 Al 2.97
Cl  0.3750  0.3684  0.7500  2 Sr 2.94, 2 Al 2.97
Cl  0.8750  0.8816  0.7500  2 Sr 2.94, 2 Al 2.97

***

Q: Among the records above, which one has the lowest E_tot?
A: PrScGa2Pt2

***

Q: The lowest E_tot belongs to which entry?
A: PrScGa2Pt2

***

Copy entry 2 word for word.
La6Tb3Pm | PBE-GGA | relaxed

Computed properties:
Energy above the lowest structure with this stoichiometry ... 68 kJ/mol of formula units
E_tot ... -4.630 eV/atom
ΔH_f (0 K) ... 190.2 meV/atom

abc: 10.0826 10.0826 7.1122
angles: 44.86 44.86 60.00
With the nearest neighbours (Å) after each atom.
Atoms (fractional coordinates):
La  0.8995  0.5747  0.2996  1 Pm 3.28, 2 Tb 3.54-3.55
La  0.2261  0.8995  0.2996  1 Pm 3.28, 2 Tb 3.54-3.55
La  0.5747  0.2261  0.2996  1 Pm 3.28, 2 Tb 3.54-3.55
La  0.0752  0.3994  0.7996  3 Tb 3.28-3.56
La  0.7258  0.0752  0.7996  3 Tb 3.28-3.56
La  0.3994  0.7258  0.7996  3 Tb 3.28-3.56
Tb  0.3997  0.3997  0.8009  2 Tb 3.04-3.05, 3 La 3.28
Tb  0.6483  0.6483  0.0551  1 Tb 3.05, 1 Pm 3.08
Tb  0.1517  0.1517  0.5450  1 Tb 3.04, 1 Pm 3.09
Pm  0.8996  0.8996  0.3013  2 Tb 3.08-3.09, 3 La 3.28

***

Q: The lowest E_tot belongs to which entry?
A: PrScGa2Pt2